# Tm12CoCu6 | Alexandria via LeMat-Bulk | PBE | relaxed
# ΔE_f   -20 meV/atom
# DOS(E_F)   1.00 states/eV per atom
data_Tm12CoCu6
_cell_length_a 7.9376
_cell_length_b 7.9376
_cell_length_c 7.9376
_cell_angle_alpha 98.24
_cell_angle_beta 98.24
_cell_angle_gamma 98.24
_space_group_name_H-M_alt 'P 1'
_space_group_IT_number 1
loop_
_space_group_symop_operation_xyz
'x,y,z'
loop_
_atom_site_label
_atom_site_type_symbol
_atom_site_fract_x
_atom_site_fract_y
_atom_site_fract_z
_atom_site_occupancy
Tm1 Tm 0.8109 0.5826 0.4347 1
Tm2 Tm 0.4347 0.8109 0.5826 1
Tm3 Tm 0.5826 0.4347 0.8109 1
Tm4 Tm 0.1891 0.4174 0.5653 1
Tm5 Tm 0.5653 0.1891 0.4174 1
Tm6 Tm 0.4174 0.5653 0.1891 1
Tm7 Tm 0.0784 0.9739 0.3166 1
Tm8 Tm 0.0261 0.6834 0.9216 1
Tm9 Tm 0.6834 0.9216 0.0261 1
Tm10 Tm 0.9216 0.0261 0.6834 1
Tm11 Tm 0.9739 0.3166 0.0784 1
Tm12 Tm 0.3166 0.0784 0.9739 1
Co1 Co 0.0000 0.0000 0.0000 1
Cu1 Cu 0.6875 0.8729 0.3675 1
Cu2 Cu 0.6325 0.3125 0.1271 1
Cu3 Cu 0.1271 0.6325 0.3125 1
Cu4 Cu 0.3125 0.1271 0.6325 1
Cu5 Cu 0.3675 0.6875 0.8729 1
Cu6 Cu 0.8729 0.3675 0.6875 1